This record from the Alexandria database describes an optimized crystal structure of Zr2Tl2Ru. The functional is GGA-PBEsol.

Unit cell a=3.801 b=3.801 c=15.603 alpha=90.00 beta=90.00 gamma=90.00
Space group I4/mmm (No. 139)
Unique sites:
Zr  0.000  0.000  0.088
Tl  0.000  0.500  0.250
Ru  0.000  0.000  0.500

Its energy is -6.12 eV/atom. The magnetization is 0.0001 μB/atom. The formation energy comes out at 0.60 eV/atom.

=====

This record from the Alexandria database describes an optimized crystal structure of YTmRu2. The functional is GGA-PBEsol.

Unit cell a=6.650 b=6.650 c=6.650 alpha=90.00 beta=90.00 gamma=90.00
Space group Fm-3m (No. 225)
Unique sites:
Y  0.000  0.000  0.000
Tm  0.000  0.000  0.500
Ru  0.250  0.250  0.250

Its energy is -8.31 eV/atom. The magnetization is 0.0000 μB/atom. The formation energy comes out at -0.29 eV/atom.